(1)
Below is a relaxed YHoEr2Tl2 crystal, with properties calculated at the PBE level.

SG ... Pmc2_1
Density of states at the Fermi level ... 12.38 states/eV/cell
Energy of formation from the pure elements ... -273 meV/atom
Crystal system ... orthorhombic
V ... 341.79 Å³ per cell

The structure in POSCAR format:
```
YHoEr2Tl2
1.0
5.0544 0.0000 0.0000
0.0000 6.8306 0.0000
0.0000 0.0000 9.9000
Y Ho Er Tl
2 2 4 4
Cartesian
0.0000 6.5544 4.5132
0.0000 3.1392 5.3868
2.5272 1.2032 6.8334
2.5272 4.6185 3.0666
2.5272 0.3759 0.4317
0.0000 2.3170 1.8537
2.5272 3.7912 9.4683
0.0000 5.7323 8.0463
0.0000 2.0451 8.6030
2.5272 1.4768 3.6345
0.0000 5.4604 1.2970
2.5272 4.8921 6.2655
```

(2)
Below is a relaxed TbErCd3 crystal, with properties calculated at the PBE level.

SG ... I-4m2
Density of states at the Fermi level ... 10.64 states/eV/cell
Relative energy among the computed polymorphs ... 586.4 meV/atom
Energy of formation from the pure elements ... 296 meV/atom
Crystal system ... tetragonal
V ... 355.19 Å³ per cell

The structure in POSCAR format:
```
TbErCd3
1.0
-4.2365 3.4438 -1.6513
-3.7465 -4.2263 0.7980
2.5718 3.6016 10.7643
Tb Er Cd
2 2 6
Cartesian
0.0000 0.0000 0.0000
-2.5831 -0.5080 5.5678
-2.5923 2.7938 2.6259
-3.0639 3.8604 6.0604
-3.9876 1.1532 7.7718
-3.1493 -2.3623 3.1531
-1.2996 -0.2758 2.7591
-1.8960 -0.5470 8.5871
-0.8035 1.8169 5.8507
-4.6077 1.0022 4.0602
```

(3)
Below is a relaxed TbUAg2S6 crystal, with properties calculated at the PBE level.

SG ... R3
Density of states at the Fermi level ... 7.21 states/eV/cell
Crystal system ... trigonal
V ... 232.77 Å³ per cell
E_form (uncorrected) ... -884 meV/atom

The structure in POSCAR format:
```
TbUAg2S6
1.0
-4.9553 1.8625 -3.8284
-4.3847 -4.3908 -2.0349
-6.6287 0.2987 3.1487
Tb U Ag S
1 1 2 6
Cartesian
-11.1679 -1.9348 -3.2100
-3.1488 -0.8311 -1.9028
-7.8658 -1.1521 -1.5288
-6.5803 0.2837 3.0784
-5.5598 0.0929 -1.8998
-6.9506 -3.5839 -2.0301
-8.8138 -0.7091 -3.9607
-10.2538 -2.1981 -0.6530
-9.0918 1.1234 -0.5973
-7.3508 -1.3785 1.1631
```

(4)
Below is a relaxed RbHfMo2 crystal, with properties calculated at the PBE level.

SG ... Fm-3m
Density of states at the Fermi level ... 7.13 states/eV/cell
Relative energy among the computed polymorphs ... 0.0 meV/atom
Energy of formation from the pure elements ... 1729 meV/atom
Crystal system ... cubic
V ... 83.06 Å³ per cell

The structure in POSCAR format:
```
RbHfMo2
1.0
0.0000 3.4630 3.4630
3.4630 0.0000 3.4630
3.4630 3.4630 0.0000
Mo Hf Rb
2 1 1
Cartesian
1.7315 1.7315 1.7315
5.1945 5.1945 5.1945
3.4630 3.4630 3.4630
0.0000 0.0000 0.0000
```

(5)
Below is a relaxed NaErSc4Se8 crystal, with properties calculated at the PBE level.

SG ... R3m
Density of states at the Fermi level ... 0.00 states/eV/cell
Crystal system ... trigonal
V ... 378.13 Å³ per cell
E_form (uncorrected) ... -1626 meV/atom

The structure in POSCAR format:
```
NaErSc4Se8
1.0
8.0567 0.0000 0.0000
4.0284 6.9773 0.0000
4.0284 2.3258 6.7267
Na Er Sc Se
1 1 4 8
Cartesian
8.0567 4.6515 5.9670
4.0284 2.3258 6.6466
8.0567 4.6515 0.8013
4.0283 4.5444 3.4077
5.9497 1.2164 3.4077
2.1070 1.2164 3.4077
8.0567 7.1422 4.8874
10.2136 3.4062 4.8874
5.8998 3.4062 4.8874
4.0283 2.3258 1.9448
8.0567 2.2330 1.7746
5.9622 5.8608 1.7746
10.1513 5.8608 1.7746
12.0851 6.9773 4.8809
```

(6)
Below is a relaxed RbTeI2N crystal, with properties calculated at the PBE level.

SG ... P4/mmm
Density of states at the Fermi level ... 9.87 states/eV/cell
Relative energy among the computed polymorphs ... 1424.0 meV/atom
Crystal system ... tetragonal
V ... 188.53 Å³ per cell
E_form (uncorrected) ... 1392 meV/atom

The structure in POSCAR format:
```
RbTeI2N
1.0
6.5932 0.0000 0.0000
0.0000 6.5932 0.0000
0.0000 0.0000 4.3371
I Te Rb N
2 1 1 1
Cartesian
0.0000 3.2966 0.0000
3.2966 0.0000 0.0000
3.2966 3.2966 2.1685
0.0000 0.0000 0.0000
0.0000 0.0000 2.1685
```

(7)
Below is a relaxed EuGdCdCu crystal, with properties calculated at the PBE level.

SG ... F-43m
Density of states at the Fermi level ... 6.25 states/eV/cell
Energy of formation from the pure elements ... -174 meV/atom
Crystal system ... cubic
V ... 103.05 Å³ per cell

The structure in POSCAR format:
```
EuGdCdCu
1.0
-2.8993 1.5840 4.0960
-1.4150 -3.4502 3.7130
2.1475 0.2683 4.7968
Eu Gd Cu Cd
1 1 1 1
Cartesian
-1.0834 -0.7990 6.3029
0.0000 0.0000 0.0000
-0.5417 -0.3995 3.1515
-1.6251 -1.1984 9.4544
```

(8)
Below is a relaxed Pm2Al3Zn4Cu crystal, with properties calculated at the PBE level.

SG ... P-4m2
Density of states at the Fermi level ... 5.13 states/eV/cell
Energy of formation from the pure elements ... -350 meV/atom
Crystal system ... tetragonal
V ... 190.07 Å³ per cell

The structure in POSCAR format:
```
Pm2Al3Zn4Cu
1.0
4.2426 0.0000 0.0000
0.0000 4.2426 0.0000
0.0000 0.0000 10.5594
Pm Al Zn Cu
2 3 4 1
Cartesian
2.1213 0.0000 2.6693
0.0000 2.1213 7.8902
0.0000 0.0000 5.2797
2.1213 0.0000 9.1113
0.0000 2.1213 1.4481
2.1213 2.1213 0.0000
0.0000 0.0000 0.0000
2.1213 0.0000 6.6402
0.0000 2.1213 3.9192
2.1213 2.1213 5.2797
```

(9)
Below is a relaxed LiSi2P crystal, with properties calculated at the PBE level.

SG ... Imm2
Density of states at the Fermi level ... 1.24 states/eV/cell
Crystal system ... orthorhombic
V ... 59.24 Å³ per cell
E_form (uncorrected) ... 168 meV/atom

The structure in POSCAR format:
```
LiSi2P
1.0
-3.3847 0.7174 3.3761
1.4563 -1.9579 4.1731
1.4720 3.3078 -3.2032
Li P Si
1 1 2
Cartesian
-0.9410 -0.6054 3.6839
1.0115 0.3837 2.2573
-0.0407 -0.0262 0.1595
-1.4502 1.6949 2.0198
```

(10)
Below is a relaxed Rb4CrTe4 crystal, with properties calculated at the PBE level.

SG ... I-42m
Crystal system ... tetragonal
V ... 403.64 Å³ per cell
E_form (uncorrected) ... -738 meV/atom

The structure in POSCAR format:
```
Rb4CrTe4
1.0
7.4366 0.0000 0.0000
-3.7183 7.2987 3.7183
0.0000 0.0000 7.4366
Rb Cr Te
4 1 4
Cartesian
-1.5053 5.2578 5.9313
1.5053 5.2578 8.9418
2.2130 2.0409 5.2236
5.2235 2.0409 2.2130
0.0000 0.0000 0.0000
1.4609 1.5149 1.4609
5.9757 1.5149 5.9757
-2.2574 5.7837 9.6940
2.2574 5.7837 5.1792
```

(11)
Below is a relaxed Tc2Pt4Rh3 crystal, with properties calculated at the PBE level.

SG ... P-1
Density of states at the Fermi level ... 21.37 states/eV/cell
Energy of formation from the pure elements ... -113 meV/atom
Crystal system ... triclinic
V ... 267.18 Å³ per cell

The structure in POSCAR format:
```
Tc2Pt4Rh3
1.0
4.7458 0.1184 0.6029
1.1098 6.7280 2.6114
-0.2755 -0.3067 8.2569
Tc Pt Rh
4 8 6
Cartesian
4.0943 5.6721 7.7473
4.8002 2.8409 2.9781
1.4859 0.8675 3.7239
0.7800 3.6988 8.4930
2.6278 0.3309 7.4384
0.0908 1.0770 8.3170
2.9524 6.2087 4.0327
5.4893 5.4626 3.1541
1.8716 4.9541 6.2455
2.2215 3.4604 3.9020
3.7086 1.5855 5.2257
3.3586 3.0793 7.5692
1.5509 6.3057 8.5198
2.5683 2.1175 1.6030
4.0292 0.2340 2.9514
3.0119 4.4222 9.8681
1.1495 2.2513 6.1085
4.4306 4.2883 5.3627
```

(12)
Below is a relaxed CsPaCuS4 crystal, with properties calculated at the PBE level.

SG ... P2_1/m
Density of states at the Fermi level ... 3.51 states/eV/cell
Crystal system ... monoclinic
V ... 352.72 Å³ per cell
E_form (uncorrected) ... -1170 meV/atom

The structure in POSCAR format:
```
CsPaCuS4
1.0
6.7312 0.0000 -0.0069
0.0000 5.6246 0.0000
-2.6312 0.0000 9.3190
Cs Pa Cu S
2 2 2 8
Cartesian
2.6164 4.2184 8.8885
1.4836 1.4061 0.4236
3.7661 4.2184 4.1506
0.3339 1.4061 5.1615
0.7944 4.2184 3.1585
3.3056 1.4061 6.1537
-1.7260 2.9001 6.3666
5.8260 0.0878 2.9455
5.8260 2.7245 2.9455
-1.7260 5.5368 6.3666
2.6305 4.2184 1.8376
1.4695 1.4061 7.4745
1.3527 4.2184 5.3674
2.7473 1.4061 3.9447
```

(13)
Below is a relaxed Cu2TcBr crystal, with properties calculated at the PBE level.

SG ... F-43m
Density of states at the Fermi level ... 4.30 states/eV/cell
Relative energy among the computed polymorphs ... 374.0 meV/atom
Crystal system ... cubic
V ... 60.28 Å³ per cell
E_form (uncorrected) ... 887 meV/atom

The structure in POSCAR format:
```
Cu2TcBr
1.0
4.4011 0.0000 0.0000
2.2005 3.8114 0.0000
2.2005 1.2705 3.5934
Br Cu Tc
1 2 1
Cartesian
4.4011 2.5409 1.7967
0.0000 0.0000 0.0000
2.2005 1.2705 0.8984
6.6016 3.8114 2.6951
```

(14)
Below is a relaxed InReN2 crystal, with properties calculated at the PBE level.

SG ... R-3m
Density of states at the Fermi level ... 1.15 states/eV/cell
Crystal system ... trigonal
V ... 56.03 Å³ per cell
E_form (uncorrected) ... 658 meV/atom

The structure in POSCAR format:
```
InReN2
1.0
0.2318 -0.4524 6.5487
1.5926 -3.1679 5.5291
3.3086 -0.4651 5.6551
Re N In
1 2 1
Cartesian
0.0000 0.0000 0.0000
4.6256 -3.6815 15.9802
0.5074 -0.4038 1.7528
2.5665 -2.0427 8.8665
```

(15)
Below is a relaxed RbIr2I crystal, with properties calculated at the PBE level.

SG ... Fm-3m
Density of states at the Fermi level ... 5.41 states/eV/cell
Relative energy among the computed polymorphs ... 901.4 meV/atom
Crystal system ... cubic
V ... 86.29 Å³ per cell
E_form (uncorrected) ... 1596 meV/atom

The structure in POSCAR format:
```
RbIr2I
1.0
0.0000 3.5073 3.5073
3.5073 0.0000 3.5073
3.5073 3.5073 0.0000
I Ir Rb
1 2 1
Cartesian
3.5073 3.5073 3.5073
1.7536 1.7536 1.7536
5.2609 5.2609 5.2609
0.0000 0.0000 0.0000
```

(16)
Below is a relaxed Ca3ScBi crystal, with properties calculated at the PBE level.

SG ... Pm-3m
Density of states at the Fermi level ... 1.36 states/eV/cell
Relative energy among the computed polymorphs ... 0.0 meV/atom
Energy of formation from the pure elements ... 149 meV/atom
Crystal system ... cubic
V ... 214.07 Å³ per cell

The structure in POSCAR format:
```
Ca3ScBi
1.0
-0.9439 -5.6311 -1.7846
4.8785 0.2760 -3.4511
3.3309 -1.9999 4.5487
Sc Ca Bi
1 3 1
Cartesian
3.6328 -3.6775 -0.3435
2.4392 0.1380 -1.7255
1.6655 -1.0000 2.2744
-0.4719 -2.8156 -0.8923
0.0000 0.0000 0.0000
```

(17)
Below is a relaxed Th6HgOs3 crystal, with properties calculated at the PBE level.

SG ... P2_1/m
Density of states at the Fermi level ... 19.07 states/eV/cell
Energy of formation from the pure elements ... -265 meV/atom
Crystal system ... monoclinic
V ... 581.46 Å³ per cell

The structure in POSCAR format:
```
Th6HgOs3
1.0
4.2072 0.0000 0.0000
0.0000 11.4244 -3.4440
0.0000 -0.0653 12.1171
Th Hg Os
12 2 6
Cartesian
3.1554 5.4073 5.7722
1.0518 5.9519 2.9008
3.1554 10.4907 -2.1033
1.0518 0.8684 10.7763
3.1554 4.4211 -0.7617
1.0518 6.9380 9.4347
3.1554 8.0251 0.7229
1.0518 3.3340 7.9501
3.1554 1.6705 5.0729
1.0518 9.6887 3.6001
3.1554 8.9601 6.5440
1.0518 2.3990 2.1291
3.1554 0.6115 8.1951
1.0518 10.7476 0.4779
3.1554 5.2012 8.5471
1.0518 6.1579 0.1259
3.1554 7.7439 3.6730
1.0518 3.6153 5.0000
3.1554 1.7606 0.4365
1.0518 9.5985 8.2366
```

(18)
Below is a relaxed Zn2CdAu6 crystal, with properties calculated at the PBE level.

SG ... C2/m
Density of states at the Fermi level ... 1.24 states/eV/cell
Relative energy among the computed polymorphs ... 24.4 meV/atom
Energy of formation from the pure elements ... -110 meV/atom
Crystal system ... monoclinic
V ... 178.83 Å³ per cell

The structure in POSCAR format:
```
Zn2CdAu6
1.0
-0.1685 3.3738 2.4372
-6.4397 2.2161 -3.5127
0.2754 -5.6445 4.2922
Zn Cd Au
2 1 6
Cartesian
-4.4992 1.6695 0.9433
-1.8335 -1.7242 2.2735
0.0000 0.0000 0.0000
-2.8565 -0.3168 0.2465
-0.7273 -0.6839 4.4697
-3.4762 0.2621 2.9702
-1.9392 2.3253 0.2067
-5.6054 0.6292 -1.2530
-4.6689 3.2646 -1.2823
```

(19)
Below is a relaxed Mn2Tc crystal, with properties calculated at the PBE level.

SG ... Cmcm
Density of states at the Fermi level ... 8.07 states/eV/cell
Relative energy among the computed polymorphs ... 181.0 meV/atom
Energy of formation from the pure elements ... 99 meV/atom
Crystal system ... orthorhombic
V ... 73.22 Å³ per cell

The structure in POSCAR format:
```
Mn2Tc
1.0
1.2987 -6.7340 0.0000
1.2987 6.7340 0.0000
0.0000 0.0000 4.1863
Mn Tc
4 2
Cartesian
1.2987 3.7800 1.0466
1.2987 0.7807 3.1397
1.2987 -0.7807 1.0466
1.2987 -3.7800 3.1397
1.2987 -5.2324 1.0466
1.2987 5.2324 3.1397
```

(20)
Below is a relaxed Tb2PmSmP4 crystal, with properties calculated at the PBE level.

SG ... P2/m
Density of states at the Fermi level ... 0.72 states/eV/cell
Energy of formation from the pure elements ... -1588 meV/atom
Crystal system ... monoclinic
V ... 191.29 Å³ per cell

The structure in POSCAR format:
```
Tb2PmSmP4
1.0
4.0760 0.0000 0.0000
0.0000 7.0548 0.1237
0.0000 -2.4666 6.6092
Tb Pm Sm P
2 1 1 4
Cartesian
2.0380 -1.2333 3.3046
0.0000 2.2941 3.3664
2.0380 3.5274 0.0619
0.0000 0.0000 0.0000
2.0380 1.1419 1.7180
2.0380 3.4462 5.0149
0.0000 -0.0900 4.9489
0.0000 4.6781 1.7840
```

(21)
Below is a relaxed TlAgTe2 crystal, with properties calculated at the PBE level.

SG ... C2/m
Density of states at the Fermi level ... 0.49 states/eV/cell
Crystal system ... monoclinic
V ... 150.09 Å³ per cell
E_form (uncorrected) ... -94 meV/atom

The structure in POSCAR format:
```
TlAgTe2
1.0
-3.2588 -5.3001 -2.1951
-2.8197 -5.6109 2.0241
-8.4917 -3.7254 0.6094
Tl Te Ag
1 2 1
Cartesian
-3.6426 -3.6591 0.1096
-7.1153 -3.9635 0.4486
-8.6615 -7.0801 0.3800
-10.9277 -10.9773 0.3288
```

| no. | DFT total energy (eV/atom) |
| --- | --- |
| 1 | -4.42 |
| 2 | -2.09 |
| 3 | -5.52 |
| 4 | -6.42 |
| 5 | -5.85 |
| 6 | -1.72 |
| 7 | -7.52 |
| 8 | -3.34 |
| 9 | -4.37 |
| 10 | -3.63 |
| 11 | -7.55 |
| 12 | -5.59 |
| 13 | -4.17 |
| 14 | -7.30 |
| 15 | -3.46 |
| 16 | -3.09 |
| 17 | -8.12 |
| 18 | -2.68 |
| 19 | -9.47 |
| 20 | -6.63 |
| 21 | -2.97 |